1.
# HgRuCl2

Crystalline HgRuCl2 at its relaxed geometry (GGA-PBE, the Alexandria database).

Output
Formation energy from raw total energies: -0.178 eV per atom
Total magnetic moment: 0.00 μB/f.u.
Energy relative to the lowest polymorph listed for this composition: 0.000 eV/atom
Calculated volume: 26.76 A^3/atom

a = 3.6037 Å, b = 3.6037 Å, c = 9.7165 Å
α = 80.01°, β = 80.01°, γ = 59.98°
With the nearest neighbours (Å) after each atom.
Element x y z (fractional)
Ru 0.2500 0.2500 0.2500  6 Cl 2.41
Hg 0.7500 0.7500 0.7500  6 Hg 3.60
Cl 0.9568 0.9568 0.1213  3 Ru 2.41
Cl 0.5432 0.5432 0.3787  3 Ru 2.41



2.
# HgRuCl

Crystalline HgRuCl at its relaxed geometry (GGA-PBE, the Alexandria database).

Output
Formation energy from raw total energies: 0.686 eV per atom
Total magnetic moment: 0.28 μB/f.u.
Energy relative to the lowest polymorph listed for this composition: 0.313 eV/atom
Calculated volume: 18.72 A^3/atom

a = 4.3459 Å, b = 4.3459 Å, c = 3.4341 Å
α = 90.00°, β = 90.00°, γ = 120.00°
With the nearest neighbours (Å) after each atom.
Element x y z (fractional)
Cl 0.0000 0.0000 0.8333  3 Ru 2.51
Hg 0.6667 0.3333 0.3330  6 Ru 3.04, 6 Cl 3.04
Ru 0.3333 0.6667 0.8336  3 Cl 2.51



3.
# HgRuS2Cl

Crystalline HgRuS2Cl at its relaxed geometry (GGA-PBE, the Alexandria database).

Output
Formation energy from raw total energies: 0.159 eV per atom
Total magnetic moment: 0.00 μB/f.u.
Energy relative to the lowest polymorph listed for this composition: 0.000 eV/atom
Calculated volume: 21.29 A^3/atom

a = 4.5978 Å, b = 4.5978 Å, c = 5.0345 Å
α = 90.00°, β = 90.00°, γ = 90.00°
With the nearest neighbours (Å) after each atom.
Element x y z (fractional)
Ru 0.0000 0.0000 0.0000  4 S 2.30, 2 Cl 2.52
S 0.0000 0.5000 0.0000  2 Ru 2.30
S 0.5000 0.0000 0.0000  2 Ru 2.30
Hg 0.5000 0.5000 0.5000  4 Cl 3.25, 8 S 3.41
Cl 0.0000 0.0000 0.5000  2 Ru 2.52